Record 1
Compound: V2NiS6
Source: Alexandria via LeMat-Bulk
Functional: GGA-PBE
Structure: relaxed

Geometry as POSCAR:
```
V2NiS6
1.0
-4.242 1.584 3.154
-3.504 -1.302 -4.059
-0.768 -9.351 3.662
S V Ni
12 4 2
Direct
0.807 0.193 0.671 S
0.193 0.807 0.329 S
0.212 0.788 0.000 S
0.307 0.307 0.829 S
0.288 0.288 0.500 S
0.693 0.693 0.829 S
0.193 0.807 0.671 S
0.712 0.712 0.500 S
0.788 0.212 0.000 S
0.307 0.307 0.171 S
0.693 0.693 0.171 S
0.807 0.193 0.329 S
0.000 0.000 0.850 V
0.500 0.500 0.350 V
0.000 0.000 0.150 V
0.500 0.500 0.650 V
0.500 0.500 0.000 Ni
0.000 0.000 0.500 Ni
```

- space-group type = No. 136



Record 2
Compound: VNiS2
Source: Alexandria via LeMat-Bulk
Functional: GGA-PBE
Structure: relaxed

Geometry as POSCAR:
```
VNiS2
1.0
5.180 0.000 0.000
0.000 5.180 0.000
2.590 2.590 5.226
V S Ni
2 4 2
Direct
0.500 0.500 0.000 V
0.250 0.750 0.500 V
0.375 0.366 0.750 S
0.634 0.125 0.250 S
0.875 0.884 0.750 S
0.116 0.625 0.250 S
0.750 0.250 0.500 Ni
0.000 0.000 0.000 Ni
```

- space-group type = No. 122



Record 3
Compound: VZn2NiS
Source: Alexandria via LeMat-Bulk
Functional: GGA-PBE
Structure: relaxed

Geometry as POSCAR:
```
VZn2NiS
1.0
4.884 0.000 0.000
0.000 4.335 0.000
0.000 0.000 4.884
V Ni Zn S
1 1 2 1
Direct
0.000 0.000 0.000 V
0.000 0.500 0.000 Ni
0.000 0.000 0.500 Zn
0.500 0.000 0.000 Zn
0.500 0.500 0.500 S
```

- space-group type = No. 123



Record 4
Compound: NiWS
Source: Alexandria via LeMat-Bulk
Functional: GGA-PBE
Structure: relaxed

Geometry as POSCAR:
```
NiWS
1.0
-0.385 -2.426 1.768
-0.342 -0.242 -2.997
23.372 -5.342 -2.237
Ni S W
4 4 4
Direct
0.667 0.333 0.036 Ni
0.333 0.667 0.812 Ni
0.667 0.333 0.188 Ni
0.333 0.667 0.964 Ni
0.333 0.667 0.424 S
0.667 0.333 0.713 S
0.333 0.667 0.287 S
0.667 0.333 0.576 S
0.667 0.333 0.887 W
0.667 0.333 0.356 W
0.333 0.667 0.113 W
0.333 0.667 0.644 W
```

- space-group type = No. 164



Record 5
Compound: NiW2S
Source: Alexandria via LeMat-Bulk
Functional: GGA-PBE
Structure: relaxed

Geometry as POSCAR:
```
NiW2S
1.0
5.266 0.000 0.000
0.000 5.266 0.000
2.633 2.633 5.464
Ni S W
2 2 4
Direct
0.000 0.000 0.000 Ni
0.750 0.250 0.500 Ni
0.500 0.500 0.000 S
0.250 0.750 0.500 S
0.631 0.125 0.250 W
0.119 0.625 0.250 W
0.875 0.881 0.750 W
0.375 0.369 0.750 W
```

- space-group type = No. 122



Record 6
Compound: NiW3S
Source: Alexandria via LeMat-Bulk
Functional: GGA-PBE
Structure: relaxed

Geometry as POSCAR:
```
NiW3S
1.0
4.377 0.000 0.000
0.000 4.377 0.000
0.000 0.000 4.377
S Ni W
1 1 3
Direct
0.000 0.000 0.000 S
0.500 0.500 0.500 Ni
0.500 0.000 0.000 W
0.000 0.000 0.500 W
0.000 0.500 0.000 W
```

- space-group type = No. 221
- offset from the most stable computed form (eV per atom) = 0.0000



Record 7
Compound: YNi3S
Source: Alexandria via LeMat-Bulk
Functional: GGA-PBE
Structure: relaxed

Geometry as POSCAR:
```
YNi3S
1.0
4.703 0.000 0.000
0.000 4.703 0.000
0.000 0.000 4.703
Y Ni S
1 3 1
Direct
0.000 0.000 0.000 Y
0.000 0.000 0.500 Ni
0.500 0.000 0.000 Ni
0.000 0.500 0.000 Ni
0.500 0.500 0.500 S
```

- space-group type = No. 221
- offset from the most stable computed form (eV per atom) = 1.8540



Record 8
Compound: Y5NiS4
Source: Alexandria via LeMat-Bulk
Functional: GGA-PBE
Structure: relaxed

Geometry as POSCAR:
```
Y5NiS4
1.0
-3.235 -0.801 1.961
1.994 -3.053 5.855
-0.240 6.424 6.043
Y S Ni
5 4 1
Direct
0.804 0.098 0.295 Y
0.196 0.902 0.705 Y
0.596 0.712 0.096 Y
0.404 0.288 0.904 Y
0.000 0.500 0.500 Y
0.803 0.596 0.798 S
0.603 0.201 0.592 S
0.397 0.799 0.408 S
0.197 0.404 0.202 S
0.000 0.000 0.000 Ni
```

- space-group type = No. 12



Record 9
Compound: YNi3S
Source: Alexandria via LeMat-Bulk
Functional: GGA-PBE
Structure: relaxed

Geometry as POSCAR:
```
YNi3S
1.0
4.256 0.000 0.000
0.000 4.256 0.000
0.000 0.000 4.256
Ni Y S
3 1 1
Direct
0.500 0.000 0.000 Ni
0.000 0.500 0.000 Ni
0.000 0.000 0.500 Ni
0.500 0.500 0.500 Y
0.000 0.000 0.000 S
```

- space-group type = No. 221
- offset from the most stable computed form (eV per atom) = 0.0000



Record 10
Compound: Y6NiS5
Source: Alexandria via LeMat-Bulk
Functional: GGA-PBE
Structure: relaxed

Geometry as POSCAR:
```
Y6NiS5
1.0
-4.143 3.321 -4.282
-1.299 -6.490 1.650
-1.721 3.035 5.846
S Y Ni
5 6 1
Direct
0.334 0.666 0.000 S
0.173 0.827 0.500 S
0.500 0.500 0.500 S
0.827 0.173 0.500 S
0.666 0.334 0.000 S
0.079 0.406 0.243 Y
0.406 0.079 0.243 Y
0.756 0.756 0.246 Y
0.244 0.244 0.754 Y
0.594 0.921 0.757 Y
0.921 0.594 0.757 Y
0.000 0.000 0.000 Ni
```

- space-group type = No. 12



Record 11
Compound: YNi2S
Source: Alexandria via LeMat-Bulk
Functional: GGA-PBE
Structure: relaxed

Geometry as POSCAR:
```
YNi2S
1.0
4.473 0.000 0.000
0.000 4.473 0.000
2.236 2.236 7.175
Ni S Y
4 2 2
Direct
0.375 0.569 0.750 Ni
0.431 0.125 0.250 Ni
0.875 0.681 0.750 Ni
0.319 0.625 0.250 Ni
0.250 0.750 0.500 S
0.500 0.500 0.000 S
0.750 0.250 0.500 Y
0.000 0.000 0.000 Y
```

- space-group type = No. 122



Record 12
Compound: Y7NiS5
Source: Alexandria via LeMat-Bulk
Functional: GGA-PBE
Structure: relaxed

Geometry as POSCAR:
```
Y7NiS5
1.0
3.852 -0.002 0.000
-1.930 6.448 0.008
0.000 -0.027 23.496
S Y Ni
10 14 2
Direct
0.000 0.001 0.500 S
0.724 0.448 0.929 S
0.552 0.103 0.143 S
0.552 0.103 0.357 S
0.449 0.898 0.857 S
0.000 0.001 0.000 S
0.277 0.553 0.071 S
0.277 0.553 0.429 S
0.449 0.898 0.643 S
0.724 0.448 0.571 S
0.639 0.276 0.037 Y
0.088 0.177 0.890 Y
0.362 0.725 0.963 Y
0.542 0.085 0.750 Y
0.806 0.612 0.822 Y
0.195 0.390 0.322 Y
0.912 0.824 0.110 Y
0.912 0.824 0.390 Y
0.362 0.725 0.537 Y
0.458 0.916 0.250 Y
0.806 0.611 0.678 Y
0.088 0.177 0.610 Y
0.639 0.276 0.463 Y
0.195 0.390 0.178 Y
0.198 0.397 0.750 Ni
0.802 0.604 0.250 Ni
```

- space-group type = No. 11



Record 13
Compound: ZnNiS
Source: Alexandria via LeMat-Bulk
Functional: GGA-PBE
Structure: relaxed

Geometry as POSCAR:
```
ZnNiS
1.0
5.239 0.000 -0.009
0.000 3.419 0.000
-1.539 0.000 10.494
Zn Ni S
4 4 4
Direct
0.688 0.000 0.657 Zn
0.688 0.500 0.157 Zn
0.312 0.000 0.343 Zn
0.312 0.500 0.843 Zn
0.500 0.500 0.500 Ni
0.000 0.500 0.000 Ni
0.000 0.000 0.500 Ni
0.500 0.000 0.000 Ni
0.199 0.500 0.619 S
0.801 0.000 0.881 S
0.199 0.000 0.119 S
0.801 0.500 0.381 S
```

- space-group type = No. 12
- offset from the most stable computed form (eV per atom) = 0.0635



Record 14
Compound: ZnNiS
Source: Alexandria via LeMat-Bulk
Functional: GGA-PBE
Structure: relaxed

Geometry as POSCAR:
```
ZnNiS
1.0
-3.525 -0.852 0.382
-1.197 -0.490 5.177
-2.885 4.691 1.061
S Zn Ni
2 2 2
Direct
0.166 0.740 0.365 S
0.718 0.186 0.814 S
0.998 0.631 0.811 Zn
0.369 0.182 0.511 Zn
0.685 0.895 0.169 Ni
0.443 0.459 0.095 Ni
```

- space-group type = No. 1
- offset from the most stable computed form (eV per atom) = 0.0277



Record 15
Compound: ZnNiS
Source: Alexandria via LeMat-Bulk
Functional: GGA-PBE
Structure: relaxed

Geometry as POSCAR:
```
ZnNiS
1.0
-2.479 2.333 -2.049
-4.287 0.007 2.216
-0.391 4.996 2.625
Ni S Zn
2 2 2
Direct
0.782 0.513 0.879 Ni
0.445 0.167 0.807 Ni
0.014 0.232 0.603 S
0.513 0.804 0.158 S
0.156 0.469 0.166 Zn
0.330 0.722 0.620 Zn
```

- space-group type = No. 1
- offset from the most stable computed form (eV per atom) = 0.0000



Record 16
Compound: ZnNi3S
Source: Alexandria via LeMat-Bulk
Functional: GGA-PBE
Structure: relaxed

Geometry as POSCAR:
```
ZnNi3S
1.0
4.121 0.000 0.000
0.000 4.121 0.000
0.000 0.000 4.121
Ni S Zn
3 1 1
Direct
0.000 0.500 0.000 Ni
0.500 0.000 0.000 Ni
0.000 0.000 0.500 Ni
0.000 0.000 0.000 S
0.500 0.500 0.500 Zn
```

- space-group type = No. 221
- offset from the most stable computed form (eV per atom) = 0.0000



Record 17
Compound: Zn3NiS
Source: Alexandria via LeMat-Bulk
Functional: GGA-PBE
Structure: relaxed

Geometry as POSCAR:
```
Zn3NiS
1.0
-3.168 -3.270 0.770
3.327 -2.907 1.344
-0.467 1.477 4.350
Ni Zn S
1 3 1
Direct
0.500 0.500 0.500 Ni
0.500 0.000 0.000 Zn
0.000 0.000 0.500 Zn
0.000 0.500 0.000 Zn
0.000 0.000 0.000 S
```

- space-group type = No. 221
- offset from the most stable computed form (eV per atom) = 0.3886



Record 18
Compound: ZnNi3S
Source: Alexandria via LeMat-Bulk
Functional: GGA-PBE
Structure: relaxed

Geometry as POSCAR:
```
ZnNi3S
1.0
-2.337 0.194 -3.653
-3.455 -1.539 2.129
-1.200 4.054 0.983
Zn S Ni
1 1 3
Direct
0.000 0.000 0.000 Zn
0.500 0.500 0.500 S
0.000 0.000 0.500 Ni
0.000 0.500 0.000 Ni
0.500 0.000 0.000 Ni
```

- space-group type = No. 221
- offset from the most stable computed form (eV per atom) = 1.0297



Record 19
Compound: ZnNi2S
Source: Alexandria via LeMat-Bulk
Functional: GGA-PBE
Structure: relaxed

Geometry as POSCAR:
```
ZnNi2S
1.0
4.043 0.000 0.000
0.000 4.043 0.000
2.022 2.022 7.173
S Ni Zn
2 4 2
Direct
0.250 0.750 0.500 S
0.500 0.500 0.000 S
0.549 0.125 0.250 Ni
0.875 0.799 0.750 Ni
0.201 0.625 0.250 Ni
0.375 0.451 0.750 Ni
0.000 0.000 0.000 Zn
0.750 0.250 0.500 Zn
```

- space-group type = No. 122
- offset from the most stable computed form (eV per atom) = 0.0000



Record 20
Compound: Zn3NiS
Source: Alexandria via LeMat-Bulk
Functional: GGA-PBE
Structure: relaxed

Geometry as POSCAR:
```
Zn3NiS
1.0
4.557 0.000 0.000
0.000 4.557 0.000
0.000 0.000 4.557
Zn Ni S
3 1 1
Direct
0.000 0.500 0.000 Zn
0.500 0.000 0.000 Zn
0.000 0.000 0.500 Zn
0.000 0.000 0.000 Ni
0.500 0.500 0.500 S
```

- space-group type = No. 221
- offset from the most stable computed form (eV per atom) = 0.0000



Values for uncorrected formation energy, meV/atom, ordered as above
-507; -584; 1162; -70; 966; 1097; 1485; -1673; -369; -1744; -559; -1611; -256; -291; -319; 2; 748; 1031; -18; 359